1.
Entry from the Alexandria database: crystalline Ce2PmY6Tm3 at its relaxed geometry (PBE).

Values from the calculation:
Energy of formation = 57 meV per atom

Geometry as CIF:
```
data_Ce2PmY6Tm3
_space_group_name_H-M_alt 'C 1 2/m 1'
_space_group_IT_number 12
_space_group_name_Hall '-C 2y'
_cell_length_a 6.153
_cell_length_b 10.656
_cell_length_c 11.765
_cell_angle_alpha 90.00
_cell_angle_beta 100.05
_cell_angle_gamma 90.00
loop_
_atom_site_label
_atom_site_fract_x
_atom_site_fract_y
_atom_site_fract_z
Ce1 0.000 0.167 0.000
Pm1 0.000 0.500 0.000
Y1 0.248 0.000 0.251
Y2 0.248 0.168 0.749
Tm1 0.000 0.000 0.500
Tm2 0.000 0.334 0.500
```

***

2.
Entry from the Alexandria database: crystalline BaAlCl2 at its relaxed geometry (PBE).

Values from the calculation:
Uncorrected formation energy = -1220 meV per atom
Polymorph energy (0 for the lowest one) = 0 meV/atom

Geometry as CIF:
```
data_BaAlCl2
_space_group_name_H-M_alt 'I m m m'
_space_group_IT_number 71
_space_group_name_Hall '-I 2 2'
_cell_length_a 4.449
_cell_length_b 5.770
_cell_length_c 8.749
_cell_angle_alpha 90.00
_cell_angle_beta 90.00
_cell_angle_gamma 90.00
loop_
_atom_site_label
_atom_site_fract_x
_atom_site_fract_y
_atom_site_fract_z
Ba1 0.000 0.000 0.000
Al1 0.000 0.000 0.500
Cl1 0.000 0.500 0.211
```

***

3.
Entry from the Alexandria database: crystalline Ta3CuPb at its relaxed geometry (PBE).

Values from the calculation:
Energy of formation = 1054 meV per atom
Polymorph energy (0 for the lowest one) = 0 meV/atom

Geometry as CIF:
```
data_Ta3CuPb
_space_group_name_H-M_alt 'P m -3 m'
_space_group_IT_number 221
_space_group_name_Hall '-P 4 2 3'
_cell_length_a 4.692
_cell_length_b 4.692
_cell_length_c 4.692
_cell_angle_alpha 90.00
_cell_angle_beta 90.00
_cell_angle_gamma 90.00
loop_
_atom_site_label
_atom_site_fract_x
_atom_site_fract_y
_atom_site_fract_z
Ta1 0.000 0.000 0.500
Cu1 0.000 0.000 0.000
Pb1 0.500 0.500 0.500
```

***

4.
Entry from the Alexandria database: crystalline PRhAuS2 at its relaxed geometry (PBE).

Values from the calculation:
Uncorrected formation energy = 688 meV per atom
Polymorph energy (0 for the lowest one) = 0 meV/atom

Geometry as CIF:
```
data_PRhAuS2
_space_group_name_H-M_alt 'P 4/m m m'
_space_group_IT_number 123
_space_group_name_Hall '-P 4 2'
_cell_length_a 4.794
_cell_length_b 4.794
_cell_length_c 4.378
_cell_angle_alpha 90.00
_cell_angle_beta 90.00
_cell_angle_gamma 90.00
loop_
_atom_site_label
_atom_site_fract_x
_atom_site_fract_y
_atom_site_fract_z
P1 0.000 0.000 0.000
Rh1 0.000 0.000 0.500
Au1 0.500 0.500 0.000
S1 0.000 0.500 0.500
```

***

5.
Entry from the Alexandria database: crystalline TaCo2 at its relaxed geometry (PBE).

Values from the calculation:
Energy of formation = -222 meV per atom

Geometry as CIF:
```
data_TaCo2
_space_group_name_H-M_alt 'P 63/m m c'
_space_group_IT_number 194
_space_group_name_Hall '-P 6c 2c'
_cell_length_a 4.7589
_cell_length_b 4.7589
_cell_length_c 15.5068
_cell_angle_alpha 90.00
_cell_angle_beta 90.00
_cell_angle_gamma 120.00
loop_
_atom_site_label
_atom_site_fract_x
_atom_site_fract_y
_atom_site_fract_z
Ta1 0.0000 0.0000 0.0920
Ta2 0.3333 0.6667 0.1554
Co1 0.0000 0.5000 0.0000
Co2 0.1648 0.3295 0.7500
Co3 0.3333 0.6667 0.6262
```

***

6.
Entry from the Alexandria database: crystalline Cs2TlCd at its relaxed geometry (PBE).

Values from the calculation:
Energy of formation = 238 meV per atom
Polymorph energy (0 for the lowest one) = 262 meV/atom

Geometry as CIF:
```
data_Cs2TlCd
_space_group_name_H-M_alt 'R -3 m'
_space_group_IT_number 166
_space_group_name_Hall '-R 3 2"'
_cell_length_a 4.3644
_cell_length_b 4.3644
_cell_length_c 40.3760
_cell_angle_alpha 90.00
_cell_angle_beta 90.00
_cell_angle_gamma 120.00
loop_
_atom_site_label
_atom_site_fract_x
_atom_site_fract_y
_atom_site_fract_z
Cs1 0.0000 0.0000 0.0933
Tl1 0.0000 0.0000 0.0000
Cd1 0.0000 0.0000 0.5000
```

***

7.
Entry from the Alexandria database: crystalline BaGaTe2N at its relaxed geometry (PBE).

Values from the calculation:
Uncorrected formation energy = -149 meV per atom
Polymorph energy (0 for the lowest one) = 0 meV/atom

Geometry as CIF:
```
data_BaGaTe2N
_space_group_name_H-M_alt 'P 4/m m m'
_space_group_IT_number 123
_space_group_name_Hall '-P 4 2'
_cell_length_a 6.163
_cell_length_b 6.163
_cell_length_c 3.619
_cell_angle_alpha 90.00
_cell_angle_beta 90.00
_cell_angle_gamma 90.00
loop_
_atom_site_label
_atom_site_fract_x
_atom_site_fract_y
_atom_site_fract_z
Ba1 0.000 0.000 0.000
Ga1 0.500 0.500 0.500
Te1 0.000 0.500 0.500
N1 0.500 0.500 0.000
```

***

8.
Entry from the Alexandria database: crystalline SbTe2IrS at its relaxed geometry (PBE).

Values from the calculation:
Uncorrected formation energy = 700 meV per atom
Polymorph energy (0 for the lowest one) = 0 meV/atom

Geometry as CIF:
```
data_SbTe2IrS
_space_group_name_H-M_alt 'P 4/m m m'
_space_group_IT_number 123
_space_group_name_Hall '-P 4 2'
_cell_length_a 5.210
_cell_length_b 5.210
_cell_length_c 5.221
_cell_angle_alpha 90.00
_cell_angle_beta 90.00
_cell_angle_gamma 90.00
loop_
_atom_site_label
_atom_site_fract_x
_atom_site_fract_y
_atom_site_fract_z
Sb1 0.000 0.000 0.000
Te1 0.000 0.500 0.500
Ir1 0.000 0.000 0.500
S1 0.500 0.500 0.000
```

***

9.
Entry from the Alexandria database: crystalline CdFeBr2 at its relaxed geometry (PBE).

Values from the calculation:
Uncorrected formation energy = -79 meV per atom
Polymorph energy (0 for the lowest one) = 40 meV/atom

Geometry as CIF:
```
data_CdFeBr2
_space_group_name_H-M_alt 'P 1 2/m 1'
_space_group_IT_number 10
_space_group_name_Hall '-P 2y'
_cell_length_a 3.733
_cell_length_b 3.477
_cell_length_c 9.678
_cell_angle_alpha 90.00
_cell_angle_beta 96.60
_cell_angle_gamma 90.00
loop_
_atom_site_label
_atom_site_fract_x
_atom_site_fract_y
_atom_site_fract_z
Cd1 0.000 0.000 0.000
Fe1 0.500 0.000 0.500
Br1 0.420 0.500 0.679
```

***

10.
Entry from the Alexandria database: crystalline DyHg4Pb at its relaxed geometry (PBE).

Values from the calculation:
Energy of formation = -62 meV per atom
Polymorph energy (0 for the lowest one) = 135 meV/atom

Geometry as CIF:
```
data_DyHg4Pb
_space_group_name_H-M_alt 'F -4 3 m'
_space_group_IT_number 216
_space_group_name_Hall 'F -4 2 3'
_cell_length_a 8.536
_cell_length_b 8.536
_cell_length_c 8.536
_cell_angle_alpha 90.00
_cell_angle_beta 90.00
_cell_angle_gamma 90.00
loop_
_atom_site_label
_atom_site_fract_x
_atom_site_fract_y
_atom_site_fract_z
Dy1 0.000 0.000 0.000
Hg1 0.125 0.125 0.375
Pb1 0.250 0.250 0.750
```

***

11.
Entry from the Alexandria database: crystalline NaTcSe2Br at its relaxed geometry (PBE).

Values from the calculation:
Uncorrected formation energy = -273 meV per atom
Polymorph energy (0 for the lowest one) = 0 meV/atom

Geometry as CIF:
```
data_NaTcSe2Br
_space_group_name_H-M_alt 'P 4/m m m'
_space_group_IT_number 123
_space_group_name_Hall '-P 4 2'
_cell_length_a 4.818
_cell_length_b 4.818
_cell_length_c 5.652
_cell_angle_alpha 90.00
_cell_angle_beta 90.00
_cell_angle_gamma 90.00
loop_
_atom_site_label
_atom_site_fract_x
_atom_site_fract_y
_atom_site_fract_z
Na1 0.000 0.000 0.000
Tc1 0.500 0.500 0.500
Se1 0.000 0.500 0.500
Br1 0.500 0.500 0.000
```

***

12.
Entry from the Alexandria database: crystalline La2GaCu9 at its relaxed geometry (PBE).

Values from the calculation:
Energy of formation = -18 meV per atom

Geometry as CIF:
```
data_La2GaCu9
_space_group_name_H-M_alt 'R -3 m'
_space_group_IT_number 166
_space_group_name_Hall '-R 3 2"'
_cell_length_a 5.1639
_cell_length_b 5.1639
_cell_length_c 25.3898
_cell_angle_alpha 90.00
_cell_angle_beta 90.00
_cell_angle_gamma 120.00
loop_
_atom_site_label
_atom_site_fract_x
_atom_site_fract_y
_atom_site_fract_z
La1 0.0000 0.0000 0.1343
Ga1 0.0000 0.0000 0.0000
Cu1 0.0000 0.0000 0.3329
Cu2 0.0000 0.0000 0.5000
Cu3 0.0002 0.5001 0.0787
```

***

13.
Entry from the Alexandria database: crystalline Li2In2Ru at its relaxed geometry (PBE).

Values from the calculation:
Energy of formation = 83 meV per atom
Polymorph energy (0 for the lowest one) = 0 meV/atom

Geometry as CIF:
```
data_Li2In2Ru
_space_group_name_H-M_alt 'P 4/m b m'
_space_group_IT_number 127
_space_group_name_Hall '-P 4 2ab'
_cell_length_a 6.991
_cell_length_b 6.991
_cell_length_c 3.245
_cell_angle_alpha 90.00
_cell_angle_beta 90.00
_cell_angle_gamma 90.00
loop_
_atom_site_label
_atom_site_fract_x
_atom_site_fract_y
_atom_site_fract_z
Li1 0.125 0.375 0.000
In1 0.176 0.676 0.500
Ru1 0.000 0.000 0.000
```

***

14.
Entry from the Alexandria database: crystalline Tb2InPb9 at its relaxed geometry (PBE).

Values from the calculation:
Energy of formation = -187 meV per atom

Geometry as CIF:
```
data_Tb2InPb9
_space_group_name_H-M_alt 'P 4/m m m'
_space_group_IT_number 123
_space_group_name_Hall '-P 4 2'
_cell_length_a 4.800
_cell_length_b 4.800
_cell_length_c 15.475
_cell_angle_alpha 90.00
_cell_angle_beta 90.00
_cell_angle_gamma 90.00
loop_
_atom_site_label
_atom_site_fract_x
_atom_site_fract_y
_atom_site_fract_z
Tb1 0.000 0.000 0.152
In1 0.000 0.000 0.500
Pb1 0.000 0.500 0.000
Pb2 0.000 0.500 0.329
Pb3 0.500 0.500 0.168
Pb4 0.500 0.500 0.500
```

***

15.
Entry from the Alexandria database: crystalline La2TlRuPb at its relaxed geometry (PBE).

Values from the calculation:
Energy of formation = -324 meV per atom
Polymorph energy (0 for the lowest one) = 11 meV/atom

Geometry as CIF:
```
data_La2TlRuPb
_space_group_name_H-M_alt 'P 4/m m m'
_space_group_IT_number 123
_space_group_name_Hall '-P 4 2'
_cell_length_a 5.433
_cell_length_b 5.433
_cell_length_c 5.315
_cell_angle_alpha 90.00
_cell_angle_beta 90.00
_cell_angle_gamma 90.00
loop_
_atom_site_label
_atom_site_fract_x
_atom_site_fract_y
_atom_site_fract_z
La1 0.000 0.500 0.000
Tl1 0.000 0.000 0.500
Ru1 0.500 0.500 0.000
Pb1 0.500 0.500 0.500
```

***

16.
Entry from the Alexandria database: crystalline LiYSe2 at its relaxed geometry (PBE).

Values from the calculation:
Uncorrected formation energy = -1404 meV per atom

Geometry as CIF:
```
data_LiYSe2
_space_group_name_H-M_alt 'F m -3 m'
_space_group_IT_number 225
_space_group_name_Hall '-F 4 2 3'
_cell_length_a 7.003
_cell_length_b 7.003
_cell_length_c 7.003
_cell_angle_alpha 90.00
_cell_angle_beta 90.00
_cell_angle_gamma 90.00
loop_
_atom_site_label
_atom_site_fract_x
_atom_site_fract_y
_atom_site_fract_z
Li1 0.000 0.000 0.000
Y1 0.000 0.000 0.500
Se1 0.250 0.250 0.250
```

***

17.
Entry from the Alexandria database: crystalline La2DyPb2 at its relaxed geometry (PBE).

Values from the calculation:
Energy of formation = -514 meV per atom
Polymorph energy (0 for the lowest one) = 44 meV/atom

Geometry as CIF:
```
data_La2DyPb2
_space_group_name_H-M_alt 'C m c m'
_space_group_IT_number 63
_space_group_name_Hall '-C 2c 2'
_cell_length_a 5.226
_cell_length_b 19.001
_cell_length_c 6.732
_cell_angle_alpha 90.00
_cell_angle_beta 90.00
_cell_angle_gamma 90.00
loop_
_atom_site_label
_atom_site_fract_x
_atom_site_fract_y
_atom_site_fract_z
La1 0.000 0.000 0.000
La2 0.000 0.195 0.250
Dy1 0.000 0.399 0.250
Pb1 0.000 0.185 0.750
Pb2 0.000 0.423 0.750
```

***

18.
Entry from the Alexandria database: crystalline Sm8CuTe4S3 at its relaxed geometry (PBE).

Values from the calculation:
Uncorrected formation energy = -1482 meV per atom

Geometry as CIF:
```
data_Sm8CuTe4S3
_space_group_name_H-M_alt 'R -3 m'
_space_group_IT_number 166
_space_group_name_Hall '-R 3 2"'
_cell_length_a 8.3738
_cell_length_b 8.3738
_cell_length_c 21.4092
_cell_angle_alpha 90.00
_cell_angle_beta 90.00
_cell_angle_gamma 120.00
loop_
_atom_site_label
_atom_site_fract_x
_atom_site_fract_y
_atom_site_fract_z
Sm1 0.0000 0.0000 0.2356
Sm2 0.0005 0.5003 0.7616
Cu1 0.0000 0.0000 0.5000
Te1 0.0000 0.0000 0.0000
Te2 0.0000 0.5000 0.0000
S1 0.0000 0.5000 0.5000
```

***

19.
Entry from the Alexandria database: crystalline Tl2BF at its relaxed geometry (PBE).

Values from the calculation:
Uncorrected formation energy = -137 meV per atom
Polymorph energy (0 for the lowest one) = 0 meV/atom

Geometry as CIF:
```
data_Tl2BF
_space_group_name_H-M_alt 'I -4 2 d'
_space_group_IT_number 122
_space_group_name_Hall 'I -4 2bw'
_cell_length_a 5.496
_cell_length_b 5.496
_cell_length_c 11.970
_cell_angle_alpha 90.00
_cell_angle_beta 90.00
_cell_angle_gamma 90.00
loop_
_atom_site_label
_atom_site_fract_x
_atom_site_fract_y
_atom_site_fract_z
Tl1 0.188 0.250 0.125
B1 0.000 0.000 0.000
F1 0.000 0.000 0.500
```

***

20.
Entry from the Alexandria database: crystalline Ce2GePIr6 at its relaxed geometry (PBE).

Values from the calculation:
Energy of formation = -561 meV per atom

Geometry as CIF:
```
data_Ce2GePIr6
_space_group_name_H-M_alt 'P m m n'
_space_group_IT_number 59
_cell_length_a 5.500
_cell_length_b 8.557
_cell_length_c 7.971
_cell_angle_alpha 90.00
_cell_angle_beta 90.00
_cell_angle_gamma 90.00
loop_
_space_group_symop_operation_xyz
'x,y,z'
'-x,-y,-z'
'-x+1/2,-y+1/2,z'
'x+1/2,y+1/2,-z'
'x+1/2,-y,-z'
'-x+1/2,y,z'
'-x,y+1/2,-z'
'x,-y+1/2,z'
loop_
_atom_site_label
_atom_site_fract_x
_atom_site_fract_y
_atom_site_fract_z
Ce1 0.250 0.011 0.226
Ge1 0.250 0.750 0.773
P1 0.250 0.250 0.740
Ir1 0.002 0.750 0.503
Ir2 0.004 0.750 0.031
Ir3 0.250 0.001 0.606
```

***

Magnetization (μB/atom)
0.154, 0.000, 0.000, 0.143, 0.161, 0.000, 0.001, 0.000, 0.958, 0.000, 0.000, 0.000, 0.000, 0.000, 0.000, 0.000, 0.000, 0.000, 0.000, 0.011